The following is a GGA-PBE calculation of a relaxed structure of Ba3AsF, from the Alexandria database.

Lattice parameters (Å, degrees): 5.396 5.396 5.396 90.00 90.00 90.00
Sites, in units of the cell vectors:
As  0.500  0.500  0.500
Ba  0.000  0.500  0.000
Ba  0.000  0.000  0.500
Ba  0.500  0.000  0.000
F  0.000  0.000  0.000

Results
energy relative to the elements, uncorrected = -1.32 eV per atom
distance to the lowest polymorph of the same formula = 167 meV/atom
ρ = 5.3 g/cm³
VASP energy = -18.91 eV per cell
total moment = 0.000 Bohr magnetons per cell
symmetry = Pm-3m, No. 221

---

The following is a GGA-PBE calculation of a relaxed structure of Al2Zn2Au7, from the Alexandria database.

Lattice parameters (Å, degrees): 5.827 6.336 5.827 98.80 101.44 81.20
Sites, in units of the cell vectors:
Al  0.719  0.949  0.281
Al  0.281  0.051  0.719
Zn  0.824  0.500  0.824
Zn  0.176  0.500  0.176
Au  0.971  0.276  0.435
Au  0.435  0.724  0.971
Au  0.029  0.724  0.565
Au  0.565  0.276  0.029
Au  0.000  0.000  0.000
Au  0.513  0.727  0.487
Au  0.487  0.273  0.513

Results
energy of formation = -160.5 meV per atom
distance to the lowest polymorph of the same formula = 68 meV/atom
ρ = 12.6 g/cm³
VASP energy = -34.74 eV per cell
total moment = 0.000 Bohr magnetons per cell
symmetry = C2/m, No. 12

---

The following is a GGA-PBE calculation of a relaxed structure of AlBr2Cl, from the Alexandria database.

Lattice parameters (Å, degrees): 3.273 3.273 9.596 90.00 90.00 90.00
Sites, in units of the cell vectors:
Al  0.500  0.500  0.746
Br  0.000  0.000  0.915
Br  0.500  0.500  0.249
Cl  0.000  0.000  0.590

Results
energy relative to the elements, uncorrected = -0.21 eV per atom
distance to the lowest polymorph of the same formula = 987 meV/atom
ρ = 3.6 g/cm³
VASP energy = -9.76 eV per cell
total moment = 0.000 Bohr magnetons per cell
symmetry = P4mm, No. 99

---

The following is a GGA-PBE calculation of a relaxed structure of AlOs2Au, from the Alexandria database.

Lattice parameters (Å, degrees): 8.945 8.945 8.945 18.21 18.21 18.21
Sites, in units of the cell vectors:
Os  0.994  0.994  0.994
Os  0.249  0.249  0.249
Au  0.753  0.753  0.753
Al  0.504  0.504  0.504

Results
energy of formation = 79.5 meV per atom
ρ = 16.4 g/cm³
VASP energy = -29.16 eV per cell
total moment = 0.000 Bohr magnetons per cell
symmetry = R3m, No. 160

---

The following is a GGA-PBE calculation of a relaxed structure of La2Ga9Pt3, from the Alexandria database.

Lattice parameters (Å, degrees): 7.821 7.821 10.735 89.72 111.74 119.89
Sites, in units of the cell vectors:
La  0.333  0.249  0.749
La  0.667  0.751  0.251
La  0.000  0.584  0.751
La  0.000  0.416  0.249
Ga  0.467  0.920  0.749
Ga  0.533  0.080  0.251
Ga  0.670  0.717  0.751
Ga  0.330  0.283  0.249
Ga  0.450  0.643  0.923
Ga  0.550  0.357  0.077
Ga  0.220  0.528  0.577
Ga  0.780  0.472  0.423
Ga  0.871  0.121  0.750
Ga  0.129  0.879  0.250
Ga  0.125  0.980  0.936
Ga  0.875  0.020  0.064
Ga  0.543  0.188  0.564
Ga  0.457  0.812  0.436
Ga  0.883  0.860  0.578
Ga  0.117  0.140  0.422
Ga  0.781  0.305  0.922
Ga  0.219  0.695  0.078
Pt  0.500  0.000  0.000
Pt  0.500  0.500  0.500
Pt  0.835  0.168  0.499
Pt  0.165  0.832  0.501
Pt  0.169  0.336  0.001
Pt  0.831  0.664  0.999

Results
energy of formation = -718.7 meV per atom
ρ = 9.6 g/cm³
VASP energy = -130.56 eV per cell
total moment = 0.000 Bohr magnetons per cell
symmetry = C2/c, No. 15

---

The following is a GGA-PBE calculation of a relaxed structure of SrGa3Au9, from the Alexandria database.

Lattice parameters (Å, degrees): 5.514 6.849 7.441 83.63 68.25 72.58
Sites, in units of the cell vectors:
Sr  0.000  0.000  0.000
Ga  0.500  0.500  0.000
Ga  0.000  0.000  0.500
Ga  0.500  0.000  0.500
Au  0.688  0.782  0.781
Au  0.312  0.218  0.219
Au  0.531  0.218  0.781
Au  0.469  0.782  0.219
Au  0.691  0.336  0.357
Au  0.309  0.664  0.643
Au  0.952  0.664  0.357
Au  0.048  0.336  0.643
Au  0.000  0.500  0.000

Results
energy of formation = -280.1 meV per atom
ρ = 13.8 g/cm³
VASP energy = -43.90 eV per cell
total moment = 0.000 Bohr magnetons per cell
symmetry = C2/m, No. 12